Computed, not measured: an optimized crystal structure of BOs2PdC at the PBE-GGA level of DFT.

Results
E, eV/f.u.: -37.78
Crystal system: tetragonal
ΔE_f, kJ/mol of atoms: 111.3

Cell: 4.5132 2.9324 4.5132 Å, 90.00 90.00 90.00°
Fractional positions:
1 C 0.0000 0.5000 0.0000
2 B 0.0000 0.0000 0.0000
3 Os 0.0000 0.0000 0.5000
4 Os 0.5000 0.0000 0.0000
5 Pd 0.5000 0.5000 0.5000